1.
Entry from Alexandria via LeMat-Bulk: an optimized crystal structure of LiAl3O4 (PBE).

Lattice parameters (Å, degrees): 5.4686 5.4686 5.4686 131.23 131.23 71.44
With the nearest neighbours (Å) after each atom.
Element x y z (fractional)
Li  0.0000  0.0000  0.0000  4 O 2.12
Al  0.2500  0.7500  0.5000  4 O 1.90
Al  0.5000  0.5000  0.0000  4 O 1.88
Al  0.7500  0.2500  0.5000  4 O 1.90
O  0.1378  0.1378  0.5465  3 Al 1.88-1.90
O  0.4087  0.8622  0.0000  3 Al 1.88-1.90
O  0.5913  0.5913  0.4535  3 Al 1.88-1.90
O  0.8622  0.4087  0.0000  3 Al 1.88-1.90

## Properties
Volume in A^3/atom: 11.31
Formation energy from raw total energies in eV per atom: -2.16

2.
Entry from Alexandria via LeMat-Bulk: an optimized crystal structure of Li5AlO4 (PBE).

Lattice parameters (Å, degrees): 5.9805 5.9805 5.9805 151.14 116.47 71.25
With the nearest neighbours (Å) after each atom.
Element x y z (fractional)
Li  0.0000  0.0000  0.0000  4 O 2.03
Li  0.1058  0.8377  0.2681  5 O 2.11-2.19, 3 Li 2.28-2.31
Li  0.4304  0.1623  0.2681  5 O 2.11-2.19, 3 Li 2.28-2.31
Li  0.5696  0.8377  0.7319  5 O 2.11-2.19, 3 Li 2.28-2.31
Li  0.8942  0.1623  0.7319  5 O 2.11-2.19, 3 Li 2.28-2.31
Al  0.5000  0.5000  0.0000  4 O 1.78-1.91
O  0.2179  0.5000  0.7179  1 Al 1.78
O  0.3037  0.3037  0.0000  1 Al 1.91, 4 Li 2.11
O  0.6963  0.6963  0.0000  1 Al 1.91, 4 Li 2.11
O  0.7821  0.5000  0.2821  1 Al 1.78

## Properties
E above lowest polymorph in meV/atom: 386
Volume in A^3/atom: 9.12
Formation energy from raw total energies in eV per atom: -1.83

3.
Entry from Alexandria via LeMat-Bulk: an optimized crystal structure of LiAlO3 (PBE).

Lattice parameters (Å, degrees): 3.6541 3.6541 3.6541 90.00 90.00 90.00
With the nearest neighbours (Å) after each atom.
Element x y z (fractional)
Li  0.0000  0.0000  0.0000  12 O 2.58
Al  0.5000  0.5000  0.5000  6 O 1.83
O  0.0000  0.5000  0.5000  2 Al 1.83
O  0.5000  0.0000  0.5000  2 Al 1.83
O  0.5000  0.5000  0.0000  2 Al 1.83

## Properties
Volume in A^3/atom: 9.76
Formation energy from raw total energies in eV per atom: -1.68

4.
Entry from Alexandria via LeMat-Bulk: an optimized crystal structure of Li5AlO4 (PBE).

Lattice parameters (Å, degrees): 6.3599 6.4808 4.6731 90.00 90.00 90.00
With the nearest neighbours (Å) after each atom.
Element x y z (fractional)
Li  0.0111  0.0529  0.2453  4 O 1.95-2.13
Li  0.0111  0.4471  0.2453  4 O 1.95-2.13
Li  0.2500  0.7500  0.2958  4 O 1.98-2.02
Li  0.4889  0.0529  0.2453  4 O 1.95-2.13
Li  0.4889  0.4471  0.2453  4 O 1.95-2.13
Li  0.5111  0.5529  0.7547  4 O 1.95-2.13
Li  0.5111  0.9471  0.7547  4 O 1.95-2.13
Li  0.7500  0.2500  0.7042  4 O 1.98-2.02
Li  0.9889  0.5529  0.7547  4 O 1.95-2.13
Li  0.9889  0.9471  0.7547  4 O 1.95-2.13
Al  0.2500  0.2500  0.7245  4 O 1.78-1.79
Al  0.7500  0.7500  0.2755  4 O 1.78-1.79
O  0.0141  0.2500  0.9293  1 Al 1.78, 3 Li 1.95-1.98
O  0.2500  0.0181  0.5167  1 Al 1.79, 2 Li 1.99
O  0.2500  0.4819  0.5167  1 Al 1.79, 2 Li 1.99
O  0.4859  0.2500  0.9293  1 Al 1.78, 3 Li 1.95-1.98
O  0.5141  0.7500  0.0707  1 Al 1.78, 3 Li 1.95-1.98
O  0.7500  0.5181  0.4833  1 Al 1.79, 2 Li 1.99
O  0.7500  0.9819  0.4833  1 Al 1.79, 2 Li 1.99
O  0.9859  0.7500  0.0707  1 Al 1.78, 3 Li 1.95-1.98

## Properties
E above lowest polymorph in meV/atom: 3
Volume in A^3/atom: 9.63
Formation energy from raw total energies in eV per atom: -2.21